Entry 1:
The following is a DFT calculation (GGA-PBE) of a geometry-optimized BaCa3Ga2 structure.

a = 4.8354 Å, b = 12.4564 Å, c = 7.2028 Å
α = 90.00°, β = 90.00°, γ = 90.00°
Last column: nearest neighbours and their distance in Å.
Space group Amm2 (No. 38)
One atom of each set of equivalent atoms:
Ba1 0.0000 0.0000 0.0000 [2 per cell]  6 Ga 4.14-4.19, 12 Ca 4.32-4.35
Ca1 0.5000 0.0000 0.4975 [2 per cell]  4 Ga 3.19
Ca2 0.5000 0.2494 0.7469 [4 per cell]  4 Ga 3.18-3.19
Ga1 0.0000 0.1676 0.4957 [4 per cell]  6 Ca 3.18-3.19

As for the energy of formation: -166 kJ/mol of formula units. Its crystal system is orthorhombic. The calculated density comes out at 3.0 Mg/m³.



Entry 2:
The following is a DFT calculation (GGA-PBE) of a geometry-optimized TiMnFe4 structure.

a = 6.6965 Å, b = 6.6965 Å, c = 6.6965 Å
α = 90.00°, β = 90.00°, γ = 90.00°
Last column: nearest neighbours and their distance in Å.
Space group F-43m (No. 216)
One atom of each set of equivalent atoms:
Ti1 0.0000 0.0000 0.0000 [4 per cell]  12 Fe 2.78, 4 Mn 2.90
Mn1 0.2500 0.2500 0.7500 [4 per cell]  12 Fe 2.78, 4 Ti 2.90
Fe1 0.1246 0.1246 0.3754 [16 per cell]  6 Fe 2.36-2.38

As for the energy of formation: -72 kJ/mol of formula units. Its crystal system is cubic. The calculated density comes out at 7.2 Mg/m³.



Entry 3:
The following is a DFT calculation (GGA-PBE) of a geometry-optimized CeSmCl structure.

a = 3.6349 Å, b = 3.6349 Å, c = 7.4564 Å
α = 90.00°, β = 90.00°, γ = 120.00°
Last column: nearest neighbours and their distance in Å.
Space group P3m1 (No. 156)
One atom of each set of equivalent atoms:
Ce1 0.0000 0.0000 0.0000 [1 per cell]  3 Cl 3.17
Sm1 0.6667 0.3333 0.3921 [1 per cell]  3 Cl 3.01
Cl1 0.3333 0.6667 0.6820 [1 per cell]  3 Sm 3.01, 3 Ce 3.17

Its crystal system is trigonal. The calculated density comes out at 6.3 Mg/m³.



Entry 4:
The following is a DFT calculation (GGA-PBE) of a geometry-optimized LiPuZnPt structure.

a = 6.6611 Å, b = 6.6611 Å, c = 6.6611 Å
α = 90.00°, β = 90.00°, γ = 90.00°
Last column: nearest neighbours and their distance in Å.
Space group F-43m (No. 216)
One atom of each set of equivalent atoms:
Li1 0.0000 0.0000 0.0000 [4 per cell]  4 Pu 2.88, 4 Zn 2.88
Pu1 0.2500 0.2500 0.7500 [4 per cell]  4 Li 2.88, 4 Pt 2.88
Zn1 0.2500 0.2500 0.2500 [4 per cell]  4 Li 2.88, 4 Pt 2.88
Pt1 0.0000 0.0000 0.5000 [4 per cell]  4 Pu 2.88, 4 Zn 2.88

As for the energy of formation: -152 kJ/mol of formula units. Its crystal system is cubic. The calculated density comes out at 11.5 Mg/m³.



Entry 5:
The following is a DFT calculation (GGA-PBE) of a geometry-optimized LiThBeAl structure.

a = 6.5998 Å, b = 6.5998 Å, c = 6.5998 Å
α = 90.00°, β = 90.00°, γ = 90.00°
Last column: nearest neighbours and their distance in Å.
Space group F-43m (No. 216)
One atom of each set of equivalent atoms:
Li1 0.0000 0.0000 0.0000 [4 per cell]  4 Th 2.86, 4 Al 2.86
Th1 0.2500 0.2500 0.7500 [4 per cell]  4 Be 2.86, 4 Li 2.86
Be1 0.0000 0.0000 0.5000 [4 per cell]  4 Al 2.86, 4 Th 2.86
Al1 0.2500 0.2500 0.2500 [4 per cell]  4 Li 2.86, 4 Be 2.86

As for the energy of formation: 5 kJ/mol of formula units. Its crystal system is cubic. The calculated density comes out at 6.4 Mg/m³.



Entry 6:
The following is a DFT calculation (GGA-PBE) of a geometry-optimized RbAl2Bi structure.

a = 8.9663 Å, b = 8.9663 Å, c = 6.8751 Å
α = 90.00°, β = 90.00°, γ = 90.00°
Last column: nearest neighbours and their distance in Å.
Space group I-42d (No. 122)
One atom of each set of equivalent atoms:
Rb1 0.0000 0.0000 0.0000 [4 per cell]  2 Bi 3.44, 8 Al 3.69-3.81
Al1 0.1874 0.7500 0.6250 [8 per cell]  2 Bi 2.93
Bi1 0.0000 0.0000 0.5000 [4 per cell]  4 Al 2.93

As for the energy of formation: 129 kJ/mol of formula units. Its crystal system is tetragonal. The calculated density comes out at 4.2 Mg/m³.



Entry 7:
The following is a DFT calculation (GGA-PBE) of a geometry-optimized HgMoIr2 structure.

a = 4.1141 Å, b = 4.1141 Å, c = 3.8435 Å
α = 90.00°, β = 90.00°, γ = 90.00°
Last column: nearest neighbours and their distance in Å.
Space group P4/mmm (No. 123)
One atom of each set of equivalent atoms:
Hg1 0.0000 0.0000 0.0000 [1 per cell]  8 Ir 2.82, 4 Mo 2.91
Mo1 0.5000 0.5000 0.0000 [1 per cell]  8 Ir 2.82, 4 Hg 2.91
Ir1 0.0000 0.5000 0.5000 [2 per cell]  4 Mo 2.82, 4 Hg 2.82, 4 Ir 2.91

As for the energy of formation: 179 kJ/mol of formula units. Its crystal system is tetragonal. The calculated density comes out at 17.4 Mg/m³.



Entry 8:
The following is a DFT calculation (GGA-PBE) of a geometry-optimized Mg3Hg4 structure.

a = 8.6169 Å, b = 8.6169 Å, c = 8.6169 Å
α = 90.00°, β = 90.00°, γ = 90.00°
Last column: nearest neighbours and their distance in Å.
Space group I-43d (No. 220)
One atom of each set of equivalent atoms:
Mg1 0.0000 0.2500 0.8750 [12 per cell]  8 Hg 2.95-3.01
Hg1 0.0799 0.4201 0.5799 [16 per cell]  6 Mg 2.95-3.01, 3 Hg 3.24

As for the energy of formation: -104 kJ/mol of formula units. Its crystal system is cubic. For the polymorph energy (0 for the lowest one), the calculation gives 4 meV/atom. The calculated density comes out at 9.1 Mg/m³.



Entry 9:
The following is a DFT calculation (GGA-PBE) of a geometry-optimized Dy2AlGe3Pt4 structure.

a = 4.2438 Å, b = 4.2438 Å, c = 10.3509 Å
α = 90.00°, β = 90.00°, γ = 90.00°
Last column: nearest neighbours and their distance in Å.
Space group P-4m2 (No. 115)
One atom of each set of equivalent atoms:
Dy1 0.0000 0.5000 0.2489 [2 per cell]  6 Ge 3.23-3.35, 8 Pt 3.25-3.34, 2 Al 3.35
Al1 0.0000 0.0000 0.5000 [1 per cell]  4 Pt 2.52
Ge1 0.0000 0.5000 0.8657 [2 per cell]  5 Pt 2.42-2.54
Ge2 0.5000 0.5000 0.5000 [1 per cell]  4 Pt 2.52
Pt1 0.0000 0.0000 0.0000 [1 per cell]  4 Ge 2.54
Pt2 0.0000 0.5000 0.6317 [2 per cell]  3 Ge 2.42-2.52, 2 Al 2.52
Pt3 0.5000 0.5000 0.0000 [1 per cell]  4 Ge 2.54

As for the energy of formation: -925 kJ/mol of formula units. Its crystal system is tetragonal. The calculated density comes out at 12.0 Mg/m³.



Entry 10:
The following is a DFT calculation (GGA-PBE) of a geometry-optimized Ho12TlZn6 structure.

a = 9.9665 Å, b = 9.9665 Å, c = 9.9665 Å
α = 90.00°, β = 90.00°, γ = 90.00°
Last column: nearest neighbours and their distance in Å.
Space group Im-3 (No. 204)
One atom of each set of equivalent atoms:
Ho1 0.0000 0.2893 0.1928 [24 per cell]  3 Zn 2.79-3.10
Tl1 0.0000 0.0000 0.0000 [2 per cell]  12 Ho 3.47
Zn1 0.0000 0.1236 0.5000 [12 per cell]  1 Zn 2.46

As for the energy of formation: -360 kJ/mol of formula units. Its crystal system is cubic. The calculated density comes out at 8.6 Mg/m³.



Entry 11:
The following is a DFT calculation (GGA-PBE) of a geometry-optimized Pm3Nd3In structure.

a = 9.5875 Å, b = 9.5875 Å, c = 5.7471 Å
α = 90.00°, β = 90.00°, γ = 120.00°
Last column: nearest neighbours and their distance in Å.
Space group P6_3/m (No. 176)
One atom of each set of equivalent atoms:
Pm1 0.0643 0.2453 0.2500 [6 per cell]  5 Nd 3.54-3.73, 1 In 3.54, 6 Pm 3.57-3.66
Nd1 0.1069 0.4805 0.7500 [6 per cell]  4 Nd 3.47-3.66, 3 In 3.50-3.72, 5 Pm 3.54-3.73
In1 0.3333 0.6667 0.2500 [2 per cell]  9 Nd 3.50-3.72, 3 Pm 3.54

As for the energy of formation: -70 kJ/mol of formula units. Its crystal system is hexagonal. For the polymorph energy (0 for the lowest one), the calculation gives 0 meV/atom. The calculated density comes out at 7.1 Mg/m³.



Entry 12:
The following is a DFT calculation (GGA-PBE) of a geometry-optimized TiMn4Au structure.

a = 6.7403 Å, b = 6.7403 Å, c = 6.7403 Å
α = 90.00°, β = 90.00°, γ = 90.00°
Last column: nearest neighbours and their distance in Å.
Space group F-43m (No. 216)
One atom of each set of equivalent atoms:
Ti1 0.0000 0.0000 0.0000 [4 per cell]  12 Mn 2.80, 4 Au 2.92
Mn1 0.1232 0.1232 0.6232 [16 per cell]  6 Mn 2.35-2.42
Au1 0.2500 0.2500 0.2500 [4 per cell]  12 Mn 2.79, 4 Ti 2.92

As for the energy of formation: -3 kJ/mol of formula units. Its crystal system is cubic. The calculated density comes out at 10.1 Mg/m³.



Entry 13:
The following is a DFT calculation (GGA-PBE) of a geometry-optimized NaRhO3 structure.

a = 6.0607 Å, b = 6.5414 Å, c = 6.2106 Å
α = 90.00°, β = 90.00°, γ = 90.00°
Last column: nearest neighbours and their distance in Å.
Space group Pnma (No. 62)
One atom of each set of equivalent atoms:
Na1 0.0000 0.0000 0.0000 [4 per cell]  6 O 2.24-2.47
Rh1 0.0346 0.2500 0.4430 [4 per cell]  6 O 1.95-2.15
O1 0.1256 0.5600 0.3730 [8 per cell]  2 Rh 1.95-2.15
O2 0.1587 0.7500 0.8091 [4 per cell]  2 Rh 1.96-2.04

Its crystal system is orthorhombic. The calculated density comes out at 4.7 Mg/m³.



Entry 14:
The following is a DFT calculation (GGA-PBE) of a geometry-optimized NaInP2 structure.

a = 7.5991 Å, b = 7.5991 Å, c = 5.8750 Å
α = 90.00°, β = 90.00°, γ = 90.00°
Last column: nearest neighbours and their distance in Å.
Space group I-42d (No. 122)
One atom of each set of equivalent atoms:
Na1 0.0000 0.0000 0.0000 [4 per cell]  2 In 2.94, 4 P 2.97
In1 0.0000 0.0000 0.5000 [4 per cell]  4 P 2.62
P1 0.2164 0.2500 0.6250 [8 per cell]  2 In 2.62

As for the energy of formation: 26 kJ/mol of formula units. Its crystal system is tetragonal. The calculated density comes out at 3.9 Mg/m³.



Entry 15:
The following is a DFT calculation (GGA-PBE) of a geometry-optimized CeB2Se6 structure.

a = 13.7791 Å, b = 10.0241 Å, c = 6.5449 Å
α = 90.00°, β = 113.75°, γ = 90.00°
Last column: nearest neighbours and their distance in Å.
Space group C2/c (No. 15)
One atom of each set of equivalent atoms:
Ce1 0.0000 0.1808 0.2500 [4 per cell]  8 Se 2.87-3.20
B1 0.2170 0.4329 0.1903 [8 per cell]  4 Se 2.03-2.10
Se1 0.1223 0.0719 0.7006 [8 per cell]  1 B 2.03
Se2 0.1460 0.4407 0.4130 [8 per cell]  2 B 2.06-2.10
Se3 0.1558 0.2449 0.0788 [8 per cell]  1 B 2.07

Its crystal system is monoclinic. The calculated density comes out at 5.1 Mg/m³.



Entry 16:
The following is a DFT calculation (GGA-PBE) of a geometry-optimized YNbTe2 structure.

a = 3.6560 Å, b = 3.6560 Å, c = 29.6896 Å
α = 90.00°, β = 90.00°, γ = 120.00°
Last column: nearest neighbours and their distance in Å.
Space group R-3m (No. 166, hexagonal axes)
One atom of each set of equivalent atoms:
Y1 0.0000 0.0000 0.0000 [3 per cell]  2 Te 3.08
Nb1 0.0000 0.0000 0.5000 [3 per cell]  6 Te 2.82
Te1 0.0000 0.0000 0.1037 [6 per cell]  3 Nb 2.82, 1 Y 3.08

Its crystal system is trigonal. For the polymorph energy (0 for the lowest one), the calculation gives 309 meV/atom. The calculated density comes out at 6.3 Mg/m³.



Entry 17:
The following is a DFT calculation (GGA-PBE) of a geometry-optimized TaIn2Os structure.

a = 3.1890 Å, b = 3.1890 Å, c = 27.7015 Å
α = 90.00°, β = 90.00°, γ = 120.00°
Last column: nearest neighbours and their distance in Å.
Space group R3m (No. 160, hexagonal axes)
One atom of each set of equivalent atoms:
Ta1 0.0000 0.0000 0.0000 [3 per cell]  3 Os 2.56
In1 0.0000 0.0000 0.5181 [3 per cell]  3 Os 2.97, 9 In 3.19-3.21
In2 0.0000 0.0000 0.7566 [3 per cell]  3 Ta 3.10, 9 In 3.19-3.21
Os1 0.0000 0.0000 0.2690 [3 per cell]  3 Ta 2.56

As for the energy of formation: 85 kJ/mol of formula units. Its crystal system is trigonal. For the polymorph energy (0 for the lowest one), the calculation gives 185 meV/atom. The calculated density comes out at 12.3 Mg/m³.



Entry 18:
The following is a DFT calculation (GGA-PBE) of a geometry-optimized MnCu2Pd7 structure.

a = 8.3505 Å, b = 15.0170 Å, c = 2.7139 Å
α = 90.00°, β = 90.00°, γ = 90.00°
Last column: nearest neighbours and their distance in Å.
Space group Cmmm (No. 65)
One atom of each set of equivalent atoms:
Mn1 0.0000 0.0000 0.0000 [2 per cell]  10 Pd 2.70-2.84, 2 Mn 2.71
Cu1 0.0000 0.3313 0.5000 [4 per cell]  5 Pd 2.53-2.57, 2 Cu 2.71
Pd1 0.0000 0.1894 0.0000 [4 per cell]  2 Cu 2.53, 6 Pd 2.71-2.72
Pd2 0.0000 0.5000 0.5000 [2 per cell]  2 Cu 2.53, 6 Pd 2.70-2.71
Pd3 0.2236 0.0935 0.5000 [8 per cell]  1 Cu 2.57, 2 Mn 2.70, 6 Pd 2.70-2.81

As for the energy of formation: 225 kJ/mol of formula units. Its crystal system is orthorhombic. The calculated density comes out at 9.0 Mg/m³.



Entry 19:
The following is a DFT calculation (GGA-PBE) of a geometry-optimized AcTb2Pt structure.

a = 7.3575 Å, b = 9.9863 Å, c = 6.6934 Å
α = 90.00°, β = 90.00°, γ = 90.00°
Last column: nearest neighbours and their distance in Å.
Space group Pnma (No. 62)
One atom of each set of equivalent atoms:
Ac1 0.0264 0.2500 0.1415 [4 per cell]  2 Pt 3.06-3.16
Tb1 0.1763 0.0663 0.6700 [8 per cell]  2 Pt 2.87-2.89
Pt1 0.1143 0.7500 0.4118 [4 per cell]  4 Tb 2.87-2.89, 2 Ac 3.06-3.16

As for the energy of formation: -252 kJ/mol of formula units. Its crystal system is orthorhombic. For the polymorph energy (0 for the lowest one), the calculation gives 0 meV/atom. The calculated density comes out at 10.0 Mg/m³.



Entry 20:
The following is a DFT calculation (GGA-PBE) of a geometry-optimized Y2Er3Al4 structure.

a = 6.1667 Å, b = 19.5060 Å, c = 7.5704 Å
α = 90.00°, β = 90.00°, γ = 90.00°
Last column: nearest neighbours and their distance in Å.
Space group Cmce (No. 64)
One atom of each set of equivalent atoms:
Y1 0.0000 0.0901 0.1025 [8 per cell]  5 Al 3.08-3.38
Er1 0.0000 0.0000 0.5000 [4 per cell]  6 Al 2.95-2.97
Er2 0.2500 0.2480 0.7500 [8 per cell]  2 Er 3.08, 5 Al 3.09-3.14
Al1 0.0000 0.1510 0.4886 [8 per cell]  2 Al 2.80, 3 Er 2.95-3.09
Al2 0.2500 0.0869 0.7500 [8 per cell]  4 Al 2.80-3.08, 2 Er 2.97, 2 Y 3.08

As for the energy of formation: -193 kJ/mol of formula units. Its crystal system is orthorhombic. The calculated density comes out at 5.7 Mg/m³.



Calculated total energy values (in eV/atom) by entry order: -2.616 -8.610 -4.965 -6.284 -4.188 -2.750 -6.750 -1.011 -6.055 -3.614 -4.574 -7.981 -5.343 -3.652 -4.869 -6.019 -6.919 -5.138 -5.506 -4.843.